Below is a relaxed Gd2PIr8 crystal, with properties calculated at the PBE-GGA level.

As for the symmetry: No. 38. The value obtained for the total energy is -90.96 eV/cell. The spin magnetization comes out at 0.0 μB/cell.

abc: 4.2371 9.0266 9.0266
angles: 146.16 90.00 90.00
Fractional positions:
1 Gd 0.0000 0.1176 0.8824
2 Gd 0.0000 0.8824 0.1176
3 P 0.5000 0.2662 0.2662
4 Ir 0.0000 0.3015 0.7062
5 Ir 0.0000 0.4945 0.4945
6 Ir 0.0000 0.7062 0.3015
7 Ir 0.5000 0.3906 0.6173
8 Ir 0.5000 0.4848 0.9976
9 Ir 0.5000 0.6173 0.3906
10 Ir 0.5000 0.8446 0.8446
11 Ir 0.5000 0.9976 0.4848